# 1
{
  "formula": "TiZnCo2",
  "functional": "PBE",
  "state": "relaxed",
  "lattice_angstrom": [[3.961, 0.000, 0.000], [0.000, 3.961, 0.000], [0.000, 0.000, 3.116]],
  "species": ["Ti", "Zn", "Co", "Co"],
  "frac_coords": [[0.000, 0.000, 0.000], [0.500, 0.500, 0.000], [0.000, 0.500, 0.500], [0.500, 0.000, 0.500]],
  "formation_energy_ev_per_atom": -0.3149,
  "vol_a3_per_atom": 12.218,
  "n_ef_per_ev_atom": 0.13,
  "e_tot_ev_per_atom": -6.160,
  "total_magnetization_mub_per_fu": 0.00
}

# 2
{
  "formula": "Ti4Zn3Co",
  "functional": "PBE",
  "state": "relaxed",
  "lattice_angstrom": [[3.052, 0.000, 0.000], [0.000, 3.052, 0.000], [0.000, 0.000, 12.814]],
  "species": ["Ti", "Ti", "Ti", "Ti", "Zn", "Zn", "Zn", "Co"],
  "frac_coords": [[0.000, 0.000, 0.112], [0.000, 0.000, 0.370], [0.000, 0.000, 0.630], [0.000, 0.000, 0.888], [0.500, 0.500, 0.242], [0.500, 0.500, 0.500], [0.500, 0.500, 0.758], [0.500, 0.500, 0.000]],
  "formation_energy_ev_per_atom": -0.2216,
  "vol_a3_per_atom": 14.918,
  "n_ef_per_ev_atom": 0.78,
  "e_tot_ev_per_atom": -5.535,
  "total_magnetization_mub_per_fu": 0.24
}

# 3
{
  "formula": "Ti3Zn12Co5",
  "functional": "PBE",
  "state": "relaxed",
  "lattice_angstrom": [[-7.195, 7.195, 7.195], [7.195, -7.195, 7.195], [7.195, 7.195, -7.195]],
  "species": ["Ti", "Ti", "Ti", "Ti", "Ti", "Ti", "Ti", "Ti", "Ti", "Ti", "Ti", "Ti", "Zn", "Zn", "Zn", "Zn", "Zn", "Zn", "Zn", "Zn", "Zn", "Zn", "Zn", "Zn", "Zn", "Zn", "Zn", "Zn", "Zn", "Zn", "Zn", "Zn", "Zn", "Zn", "Zn", "Zn", "Zn", "Zn", "Zn", "Zn", "Zn", "Zn", "Zn", "Zn", "Zn", "Zn", "Zn", "Zn", "Zn", "Zn", "Zn", "Zn", "Zn", "Zn", "Zn", "Zn", "Zn", "Zn", "Zn", "Zn", "Co", "Co", "Co", "Co", "Co", "Co", "Co", "Co", "Co", "Co", "Co", "Co", "Co", "Co", "Co", "Co", "Co", "Co", "Co", "Co"],
  "frac_coords": [[0.125, 0.250, 0.375], [0.125, 0.375, 0.750], [0.250, 0.375, 0.125], [0.250, 0.875, 0.625], [0.375, 0.125, 0.250], [0.375, 0.750, 0.125], [0.625, 0.250, 0.875], [0.625, 0.875, 0.750], [0.750, 0.125, 0.375], [0.750, 0.625, 0.875], [0.875, 0.625, 0.250], [0.875, 0.750, 0.625], [0.050, 0.218, 0.126], [0.050, 0.332, 0.924], [0.076, 0.626, 0.408], [0.076, 0.950, 0.668], [0.092, 0.718, 0.668], [0.092, 0.874, 0.424], [0.126, 0.050, 0.218], [0.126, 0.576, 0.908], [0.168, 0.218, 0.592], [0.168, 0.450, 0.576], [0.218, 0.126, 0.050], [0.218, 0.592, 0.168], [0.282, 0.332, 0.908], [0.282, 0.450, 0.374], [0.332, 0.908, 0.282], [0.332, 0.924, 0.050], [0.374, 0.282, 0.450], [0.374, 0.592, 0.924], [0.408, 0.076, 0.626], [0.408, 0.832, 0.782], [0.424, 0.092, 0.874], [0.424, 0.832, 0.550], [0.450, 0.374, 0.282], [0.450, 0.576, 0.168], [0.550, 0.424, 0.832], [0.550, 0.626, 0.718], [0.576, 0.168, 0.450], [0.576, 0.908, 0.126], [0.592, 0.168, 0.218], [0.592, 0.924, 0.374], [0.626, 0.408, 0.076], [0.626, 0.718, 0.550], [0.668, 0.076, 0.950], [0.668, 0.092, 0.718], [0.718, 0.550, 0.626], [0.718, 0.668, 0.092], [0.782, 0.408, 0.832], [0.782, 0.874, 0.950], [0.832, 0.550, 0.424], [0.832, 0.782, 0.408], [0.874, 0.424, 0.092], [0.874, 0.950, 0.782], [0.908, 0.126, 0.576], [0.908, 0.282, 0.332], [0.924, 0.050, 0.332], [0.924, 0.374, 0.592], [0.950, 0.668, 0.076], [0.950, 0.782, 0.874], [0.000, 0.000, 0.000], [0.000, 0.000, 0.500], [0.000, 0.500, 0.000], [0.000, 0.500, 0.500], [0.125, 0.750, 0.875], [0.125, 0.875, 0.250], [0.250, 0.125, 0.875], [0.250, 0.625, 0.375], [0.375, 0.250, 0.625], [0.375, 0.625, 0.750], [0.500, 0.000, 0.000], [0.500, 0.000, 0.500], [0.500, 0.500, 0.000], [0.500, 0.500, 0.500], [0.625, 0.375, 0.250], [0.625, 0.750, 0.375], [0.750, 0.375, 0.625], [0.750, 0.875, 0.125], [0.875, 0.125, 0.750], [0.875, 0.250, 0.125]],
  "formation_energy_ev_per_atom": 0.7247,
  "vol_a3_per_atom": 18.623,
  "n_ef_per_ev_atom": 1.37,
  "e_tot_ev_per_atom": -3.000,
  "total_magnetization_mub_per_fu": 9.11
}

Q: What is the formula in the third record?
A: Ti3Zn12Co5

Q: What is the formula in the second record?
A: Ti4Zn3Co